Material: BeInBr
Method: DFT, PBE-GGA
State: optimized geometry Values from VASP.

Geometry as Quantum ESPRESSO input:
```
&SYSTEM
  ibrav = 0, nat = 3, ntyp = 3
/
ATOMIC_SPECIES
In 114.82 In.upf
Be 9.01 Be.upf
Br 79.90 Br.upf
CELL_PARAMETERS angstrom
7.9128 0.2904 0.0000
6.4601 4.5787 0.0000
-7.1865 -2.4346 2.2639
ATOMIC_POSITIONS angstrom
In 5.4967 1.8621 0.0000
Be 0.2752 0.0932 0.0000
Br 8.6010 2.9138 0.0000
```

Summary:
**ΔE to the lowest computed polymorph**: 248.7 meV per atom
**Volume**: 77.8 Å³ per cell
**Symmetry**: I4mm, No. 107
**Density of states at the Fermi level**: 0.202 states/eV per atom
**Formation energy (no corrections)**: 285 meV/atom